# 1
Here is crystalline Tl2CuRh at its relaxed geometry from the Alexandria database. Energies are from GGA-PBE.

a = 3.3492 Å, b = 3.3492 Å, c = 24.5066 Å
α = 90.00°, β = 90.00°, γ = 120.00°
Space group R-3m (No. 166, hexagonal axes)
Unique sites:
Tl: 0.0000 0.0000 0.2503 (multiplicity 6)
Cu: 0.0000 0.0000 0.0000 (multiplicity 3)
Rh: 0.0000 0.0000 0.5000 (multiplicity 3)

**Calculated density**: 12.04 g/cm³
**Excess energy over the best structure of this formula in the dataset**: 161.7 meV per atom
**Magnetic moment**: 0.00 μB/cell
**E_tot**: -0.1371 Ha/atom

---

# 2
Here is crystalline La3RhAuO at its relaxed geometry from the Alexandria database. Energies are from GGA-PBE.

a = 8.723 Å, b = 4.181 Å, c = 9.216 Å
α = 90.00°, β = 101.19°, γ = 90.00°
Space group P2_1/m (No. 11)
Unique sites:
La: 0.070 0.250 0.335 (multiplicity 2)
La: 0.317 0.250 0.975 (multiplicity 2)
La: 0.380 0.750 0.644 (multiplicity 2)
Rh: 0.156 0.250 0.650 (multiplicity 2)
Au: 0.325 0.750 0.276 (multiplicity 2)
O: 0.415 0.750 0.908 (multiplicity 2)

**Formation energy (no corrections)**: -141 kJ/mol of atoms
**Calculated density**: 7.38 g/cm³
**Magnetic moment**: 0.00 μB/cell
**E_tot**: -0.2399 Ha/atom

---

# 3
Here is crystalline Ba2NaAcF8 at its relaxed geometry from the Alexandria database. Energies are from GGA-PBE.

a = 6.108 Å, b = 6.108 Å, c = 12.159 Å
α = 90.00°, β = 90.00°, γ = 90.00°
Space group I-4m2 (No. 119)
Unique sites:
Ba: 0.000 0.000 0.000 (multiplicity 2)
Ba: 0.000 0.500 0.250 (multiplicity 2)
Na: 0.000 0.000 0.500 (multiplicity 2)
Ac: 0.000 0.500 0.750 (multiplicity 2)
F: 0.237 0.259 0.629 (multiplicity 16)

**Formation energy (no corrections)**: -365 kJ/mol of atoms
**Calculated density**: 4.95 g/cm³
**Magnetic moment**: 0.00 μB/cell
**E_tot**: -0.2133 Ha/atom

---

# 4
Here is crystalline CoTcBr2 at its relaxed geometry from the Alexandria database. Energies are from GGA-PBE.

a = 14.557 Å, b = 3.792 Å, c = 3.514 Å
α = 90.00°, β = 103.84°, γ = 90.00°
Space group C2/m (No. 12)
Unique sites:
Co: 0.000 0.000 0.000 (multiplicity 2)
Tc: 0.000 0.500 0.500 (multiplicity 2)
Br: 0.135 0.500 0.134 (multiplicity 4)

**Formation energy (no corrections)**: 34 kJ/mol of atoms
**Calculated density**: 5.59 g/cm³
**Excess energy over the best structure of this formula in the dataset**: 197.6 meV per atom
**Magnetic moment**: 6.83 μB/cell
**E_tot**: -0.1782 Ha/atom